(1)
Below is CsYBeO3 after structural relaxation, with properties calculated at the GGA-PBE level.

Cell and atoms, written as POSCAR:
```
CsYBeO3
1.0
7.964 0.000 0.000
0.000 3.467 0.000
-3.119 0.000 7.619
Cs Y Be O
2 2 2 6
direct
0.241 0.250 0.211
0.759 0.750 0.789
0.160 0.250 0.665
0.840 0.750 0.335
0.394 0.750 0.938
0.606 0.250 0.062
0.146 0.750 0.479
0.183 0.750 0.859
0.459 0.250 0.870
0.541 0.750 0.130
0.817 0.250 0.141
0.854 0.250 0.521
```

Output
**Formation energy without anion corrections**: -2.617 eV/atom
**E**: -6.936 eV per atom

(2)
Below is Cs2YBeO4 after structural relaxation, with properties calculated at the GGA-PBE level.

Cell and atoms, written as POSCAR:
```
Cs2YBeO4
1.0
0.000 6.208 12.040
2.578 0.000 12.040
2.578 6.208 0.000
Cs Y Be O
4 2 2 8
direct
0.052 0.052 0.698
0.302 0.302 0.948
0.698 0.698 0.052
0.948 0.948 0.302
0.125 0.125 0.125
0.875 0.875 0.875
0.375 0.375 0.375
0.625 0.625 0.625
0.067 0.604 0.520
0.308 0.520 0.604
0.396 0.933 0.692
0.480 0.692 0.933
0.520 0.308 0.067
0.604 0.067 0.308
0.692 0.480 0.396
0.933 0.396 0.480
```

Output
**Formation energy without anion corrections**: -1.885 eV/atom
**E**: -5.852 eV per atom

(3)
Below is CsBeZn2O after structural relaxation, with properties calculated at the GGA-PBE level.

Cell and atoms, written as POSCAR:
```
CsBeZn2O
1.0
6.598 0.000 0.000
0.000 6.598 0.000
0.000 0.000 3.029
Cs Be Zn O
1 1 2 1
direct
0.000 0.000 0.000
0.500 0.500 0.000
0.000 0.500 0.500
0.500 0.000 0.500
0.500 0.500 0.500
```

Output
**Formation energy without anion corrections**: -0.345 eV/atom
**E**: -2.762 eV per atom

(4)
Below is CsZrBeO4 after structural relaxation, with properties calculated at the GGA-PBE level.

Cell and atoms, written as POSCAR:
```
CsZrBeO4
1.0
5.245 0.000 0.000
0.000 5.612 0.000
-2.380 0.000 7.521
Cs Zr Be O
2 2 2 8
direct
0.223 0.250 0.439
0.777 0.750 0.561
0.343 0.750 0.036
0.657 0.250 0.964
0.108 0.250 0.857
0.892 0.750 0.143
0.097 0.250 0.062
0.206 0.750 0.257
0.306 0.025 0.847
0.306 0.475 0.847
0.694 0.525 0.153
0.694 0.975 0.153
0.794 0.250 0.743
0.903 0.750 0.938
```

Output
**Formation energy without anion corrections**: -2.374 eV/atom
**E**: -7.082 eV per atom

(5)
Below is CsBe3Os after structural relaxation, with properties calculated at the GGA-PBE level.

Cell and atoms, written as POSCAR:
```
CsBe3Os
1.0
4.628 0.000 0.000
0.000 4.628 0.000
0.000 0.000 4.628
Cs Be Os
1 3 1
direct
0.000 0.000 0.000
0.000 0.000 0.500
0.000 0.500 0.000
0.500 0.000 0.000
0.500 0.500 0.500
```

Output
**Formation energy from the elements**: 3242 meV/atom
**ΔE to the lowest computed polymorph**: 2426 meV per atom
**E**: -1.410 eV per atom

(6)
Below is CsBe2Os2 after structural relaxation, with properties calculated at the GGA-PBE level.

Cell and atoms, written as POSCAR:
```
CsBe2Os2
1.0
7.753 0.000 0.000
0.000 7.753 0.000
0.000 0.000 2.872
Cs Be Os
2 4 4
direct
0.000 0.000 0.000
0.500 0.500 0.000
0.139 0.361 0.500
0.361 0.861 0.500
0.639 0.139 0.500
0.861 0.639 0.500
0.113 0.613 0.000
0.387 0.113 0.000
0.613 0.887 0.000
0.887 0.387 0.000
```

Output
**Formation energy from the elements**: 1040 meV/atom
**ΔE to the lowest computed polymorph**: 0 meV per atom
**E**: -5.113 eV per atom

Which of these has the highest E? CsBe3Os

Copy entry 2 word for word.
Below is Cs2YBeO4 after structural relaxation, with properties calculated at the GGA-PBE level.

Cell and atoms, written as POSCAR:
```
Cs2YBeO4
1.0
0.000 6.208 12.040
2.578 0.000 12.040
2.578 6.208 0.000
Cs Y Be O
4 2 2 8
direct
0.052 0.052 0.698
0.302 0.302 0.948
0.698 0.698 0.052
0.948 0.948 0.302
0.125 0.125 0.125
0.875 0.875 0.875
0.375 0.375 0.375
0.625 0.625 0.625
0.067 0.604 0.520
0.308 0.520 0.604
0.396 0.933 0.692
0.480 0.692 0.933
0.520 0.308 0.067
0.604 0.067 0.308
0.692 0.480 0.396
0.933 0.396 0.480
```

Output
**Formation energy without anion corrections**: -1.885 eV/atom
**E**: -5.852 eV per atom

Number 2 is which compound? Cs2YBeO4

Which formula does entry 4 have? CsZrBeO4